# 1
Material: LaZrAsSe2
Method: DFT, PBE-GGA
State: optimized geometry

- SG: P4/mmm (123)
- Uncorrected energy: -6.108 eV per atom
- V: 27.72 Å³ per atom
- Total magnetic moment: 0.00 Bohr magnetons per cell
- Relative energy among the computed polymorphs: 0 meV per atom

a = 5.1440 Å, b = 5.1440 Å, c = 5.2379 Å
α = 90.00°, β = 90.00°, γ = 90.00°
Fractional positions:
La1 0.0000 0.0000 0.0000
Zr1 0.5000 0.5000 0.5000
As1 0.5000 0.5000 0.0000
Se1 0.0000 0.5000 0.5000
Se2 0.5000 0.0000 0.5000

# 2
Material: LiSi2Ni
Method: DFT, PBE-GGA
State: optimized geometry

- SG: Pmmm (47)
- Uncorrected energy: -4.832 eV per atom
- V: 13.05 Å³ per atom
- Total magnetic moment: 0.00 Bohr magnetons per cell
- Relative energy among the computed polymorphs: 160 meV per atom

a = 2.5470 Å, b = 3.4602 Å, c = 5.9236 Å
α = 90.00°, β = 90.00°, γ = 90.00°
Fractional positions:
Li1 0.0000 0.0000 0.0000
Si1 0.5000 0.5000 0.2857
Si2 0.5000 0.5000 0.7143
Ni1 0.0000 0.0000 0.5000

Respective formation energy (no corrections) values: -1.089; -0.196 eV per atom.